A plane-wave DFT calculation with PBE+U was carried out for Pm2MnVO6 after structural relaxation.

Fermi-level density of states, states/eV per atom: 0.07
Density, g/cm3: 6.350
Volume, Å³ per cell: 129
Raw total energy, eV/atom: -7.9217
Space group: No. 99

Cell: 5.422 5.422 4.375 Å, 90.00 90.00 90.00°
Atoms (fractional coordinates):
Pm (0.000, 0.500, 0.000)
Pm (0.500, 0.000, 0.000)
Mn (0.000, 0.000, 0.577)
V (0.500, 0.500, 0.580)
O (0.000, 0.000, 0.114)
O (0.253, 0.253, 0.662)
O (0.253, 0.747, 0.662)
O (0.500, 0.500, 0.124)
O (0.747, 0.253, 0.662)
O (0.747, 0.747, 0.662)